# CsBaCrO4

CsBaCrO4 after structural relaxation (PBE+U, Alexandria).

It has space group P2_1/m (No. 11), with a = 6.4903 Å, b = 6.0906 Å, c = 8.2156 Å, α = 90.00°, β = 105.01° and γ = 90.00°. The distinct sites, in fractional coordinates, are Cs at (0.2266, 0.2500, 0.4340), Ba at (0.2692, 0.2500, 0.9424), Cr at (0.2667, 0.7500, 0.1730), O at (0.1097, 0.7500, 0.3127), O at (0.1181, 0.7500, 0.9667) and O at (0.4333, 0.5219, 0.1993).

The calculation puts the total magnetization at 1.00 μB/f.u. As for the final energy: -44.010 eV/f.u.